No. 1
## K2SbSe (PBE)

Data for an optimized crystal structure of K2SbSe.

```
4
Lattice="-2.2286 -2.3891 2.4486 0.6712 -3.1709 -2.4829 8.1547 -2.3162 5.1621" Properties=species:S:1:pos:R:3 pbc="T T T"
Se 4.6104 -4.3106 3.3943
K 1.9241 -3.5476 1.6938
K 7.5182 -2.1354 4.7592
Sb 4.7767 -1.3567 3.0238
```

Output
- space-group type = P4mm
- total magnetic moment (μB/cell) = 0.00
- relative energy among the computed polymorphs (eV/atom) = 0.207
- formation energy (no corrections) (eV/atom) = -0.31


No. 2
## Ta4NbMo (PBE)

Data for an optimized crystal structure of Ta4NbMo.

```
6
Lattice="3.0730 -0.0071 -1.1201 -2.3913 4.5732 -1.8144 0.8565 0.2653 7.1233" Properties=species:S:1:pos:R:3 pbc="T T T"
Ta 0.3183 4.5451 -1.5441
Mo -1.1957 2.2866 -0.9072
Ta 1.2199 0.2863 5.7329
Nb 1.9647 0.1291 3.0016
Ta 0.4157 2.4646 3.5127
Ta 1.1224 2.3668 0.6761
```

Output
- space-group type = C2/m
- total magnetic moment (μB/cell) = 0.00
- relative energy among the computed polymorphs (eV/atom) = 0.000
- ΔH_f (0 K) (eV/atom) = -0.078


No. 3
## ZnOs2Pt (PBE)

Data for an optimized crystal structure of ZnOs2Pt.

```
4
Lattice="2.7343 -0.0051 0.0000 -1.3369 2.3852 0.0000 0.0000 0.0000 9.2053" Properties=species:S:1:pos:R:3 pbc="T T T"
Zn 0.6987 1.1900 6.9108
Os 0.6987 1.1900 2.2209
Os 0.0000 0.0000 0.0020
Pt 0.0000 0.0000 4.6743
```

Output
- space-group type = Cmm2
- total magnetic moment (μB/cell) = 0.78
- ΔH_f (0 K) (eV/atom) = 0.281


No. 4
## AcAlIr (PBE)

Data for an optimized crystal structure of AcAlIr.

```
3
Lattice="-1.4297 -2.8697 1.1306 2.6758 -0.5342 2.0278 -3.2472 4.6828 2.6688" Properties=species:S:1:pos:R:3 pbc="T T T"
Ac -0.0543 0.0617 0.0879
Ir -0.4264 -0.5098 3.2782
Al -1.5203 1.7270 2.4611
```

Output
- space-group type = I4mm
- total magnetic moment (μB/cell) = 0.00
- relative energy among the computed polymorphs (eV/atom) = 0.332
- ΔH_f (0 K) (eV/atom) = -0.407


No. 5
## Tb3Ag2Au (PBE)

Data for an optimized crystal structure of Tb3Ag2Au.

```
6
Lattice="-0.6995 -2.6917 -2.3275 1.5664 -2.3628 2.2618 -9.6726 -1.7226 4.8993" Properties=species:S:1:pos:R:3 pbc="T T T"
Tb -3.2670 -0.5818 1.6548
Tb -6.4056 -1.1408 3.2445
Ag -7.6326 -3.9637 4.0527
Ag -1.1731 -2.8134 0.7809
Tb 0.0000 0.0000 0.0000
Au -4.4029 -3.3885 2.4168
```

Output
- space-group type = P4/mmm
- total magnetic moment (μB/cell) = 0.00
- relative energy among the computed polymorphs (eV/atom) = 0.002
- ΔH_f (0 K) (eV/atom) = -0.500


No. 6
## AcMn4Cu3S12 (PBE)

Data for an optimized crystal structure of AcMn4Cu3S12.

```
20
Lattice="-3.2518 5.7191 -3.8728 -4.5238 -6.1441 -0.2585 1.0208 2.1046 7.2671" Properties=species:S:1:pos:R:3 pbc="T T T"
S -3.9465 0.4218 3.8144
Cu -1.7515 -2.0198 3.5043
S -0.9950 0.5831 5.3826
S -1.3143 1.7095 2.2978
Mn -2.2619 -3.0721 -0.1293
S -4.2870 3.0082 1.6954
S -2.9574 4.5415 -0.9649
S -4.5937 -2.9996 -0.4505
Cu -3.8878 -0.2125 -2.0657
S -3.7975 -2.8619 4.1006
Mn -1.6259 2.8596 -1.9364
S -2.8084 1.2578 -0.6787
Ac 0.0000 0.0000 0.0000
Mn 0.5104 1.0523 3.6335
S -5.4405 -0.0299 0.8379
S -5.7598 1.0965 -2.2469
Mn -3.3774 0.8398 1.5679
S -2.1612 4.6792 3.5862
Cu -1.1155 3.9119 1.6971
S -2.4678 -1.3286 1.4403
```

Output
- space-group type = Im-3
- total magnetic moment (μB/cell) = 10.57
- formation energy (no corrections) (eV/atom) = -0.57


No. 7
## Pm2TmGe2 (PBE)

Data for an optimized crystal structure of Pm2TmGe2.

```
10
Lattice="-2.8888 2.3450 -2.1998 1.2780 -5.2093 -2.9850 -8.2350 -5.1011 5.3765" Properties=species:S:1:pos:R:3 pbc="T T T"
Pm -2.7552 -2.9596 -3.7835
Ge -4.8551 -4.7982 -2.9858
Pm -4.1816 -1.7404 -0.6106
Tm -4.0915 -5.3231 -0.3016
Pm -6.9181 -7.0016 1.6211
Ge -1.2309 -2.5686 -1.1218
Ge -6.8064 -4.2764 0.1328
Tm -9.5838 -5.0144 2.9936
Pm -5.3138 -3.9051 2.8153
Ge -7.3683 -4.6399 4.7299
```

Output
- space-group type = Cmc2_1
- total magnetic moment (μB/cell) = 1.51
- relative energy among the computed polymorphs (eV/atom) = 0.139
- ΔH_f (0 K) (eV/atom) = -0.657


No. 8
## Ac2Cd3Pd (PBE)

Data for an optimized crystal structure of Ac2Cd3Pd.

```
6
Lattice="-3.3645 -0.5827 2.1210 1.5473 -4.5791 1.1965 3.8839 3.1481 7.0258" Properties=species:S:1:pos:R:3 pbc="T T T"
Cd -1.0369 0.2317 2.2278
Cd 1.5396 2.3202 6.8886
Ac 1.8603 1.5079 3.3652
Ac 0.8992 -2.1878 0.8254
Pd 0.3755 -1.5400 3.9817
Cd 1.6640 -0.4956 6.3124
```

Output
- space-group type = Pmm2
- total magnetic moment (μB/cell) = 0.00
- ΔH_f (0 K) (eV/atom) = -0.458